1.
{"formula": "Tl2Ag2Bi", "functional": "PBE", "state": "optimized geometry", "lattice_angstrom": [[8.277, 0.000, 0.000], [0.000, 8.277, 0.000], [0.000, 0.000, 3.737]], "species": ["Tl", "Tl", "Tl", "Tl", "Ag", "Ag", "Ag", "Ag", "Bi", "Bi"], "frac_coords": [[0.172, 0.328, 0.000], [0.328, 0.828, 0.000], [0.672, 0.172, 0.000], [0.828, 0.672, 0.000], [0.126, 0.626, 0.500], [0.374, 0.126, 0.500], [0.626, 0.874, 0.500], [0.874, 0.374, 0.500], [0.000, 0.000, 0.500], [0.500, 0.500, 0.500]], "de_polymorph_ev_per_atom": 0.0000, "sg": "No. 127"}



2.
{"formula": "TlSeBr2O", "functional": "PBE", "state": "optimized geometry", "lattice_angstrom": [[6.507, 0.000, 0.000], [0.000, 6.507, 0.000], [0.000, 0.000, 3.623]], "species": ["Tl", "Se", "Br", "Br", "O"], "frac_coords": [[0.000, 0.000, 0.000], [0.500, 0.500, 0.000], [0.000, 0.500, 0.500], [0.500, 0.000, 0.500], [0.500, 0.500, 0.500]], "de_polymorph_ev_per_atom": 0.0000, "sg": "No. 123", "raw_formation_energy_ev_per_atom": -0.077}



3.
{"formula": "SiPb2Br", "functional": "PBE", "state": "optimized geometry", "lattice_angstrom": [[3.479, 0.000, 0.000], [0.000, 5.136, 0.000], [0.000, 0.000, 12.721]], "species": ["Si", "Si", "Pb", "Pb", "Pb", "Pb", "Br", "Br"], "frac_coords": [[0.000, 0.000, 0.000], [0.500, 0.500, 0.500], [0.000, 0.500, 0.307], [0.000, 0.500, 0.693], [0.500, 0.000, 0.193], [0.500, 0.000, 0.807], [0.000, 0.000, 0.500], [0.500, 0.500, 0.000]], "de_polymorph_ev_per_atom": 0.2493, "sg": "No. 71", "raw_formation_energy_ev_per_atom": 0.185}



4.
{"formula": "YBe2Os", "functional": "PBE", "state": "optimized geometry", "lattice_angstrom": [[3.880, 0.000, 0.000], [-1.940, 3.360, 0.000], [0.000, 0.000, 14.392]], "species": ["Y", "Y", "Y", "Be", "Be", "Be", "Be", "Be", "Be", "Os", "Os", "Os"], "frac_coords": [[0.000, 0.000, 0.000], [0.333, 0.667, 0.667], [0.667, 0.333, 0.333], [0.000, 0.000, 0.198], [0.000, 0.000, 0.802], [0.333, 0.667, 0.469], [0.333, 0.667, 0.864], [0.667, 0.333, 0.136], [0.667, 0.333, 0.531], [0.000, 0.000, 0.500], [0.333, 0.667, 0.167], [0.667, 0.333, 0.833]], "de_polymorph_ev_per_atom": 0.0330, "sg": "No. 166"}



5.
{"formula": "YGa3NiRu", "functional": "PBE", "state": "optimized geometry", "lattice_angstrom": [[3.828, -5.288, 0.000], [3.828, 5.288, 0.000], [0.000, 0.000, 5.571]], "species": ["Y", "Y", "Ga", "Ga", "Ga", "Ga", "Ga", "Ga", "Ni", "Ni", "Ru", "Ru"], "frac_coords": [[0.207, 0.793, 0.750], [0.793, 0.207, 0.250], [0.248, 0.248, 0.000], [0.248, 0.248, 0.500], [0.313, 0.687, 0.250], [0.687, 0.313, 0.750], [0.752, 0.752, 0.000], [0.752, 0.752, 0.500], [0.465, 0.535, 0.750], [0.535, 0.465, 0.250], [0.085, 0.915, 0.250], [0.915, 0.085, 0.750]], "energy_ev_per_fu": -32.6, "sg": "No. 63"}



6.
{"formula": "ZrScCu2", "functional": "PBE", "state": "optimized geometry", "lattice_angstrom": [[6.535, 0.000, 0.000], [0.000, 6.535, 0.000], [0.000, 0.000, 6.535]], "species": ["Zr", "Zr", "Zr", "Zr", "Sc", "Sc", "Sc", "Sc", "Cu", "Cu", "Cu", "Cu", "Cu", "Cu", "Cu", "Cu"], "frac_coords": [[0.000, 0.000, 0.000], [0.000, 0.500, 0.500], [0.500, 0.000, 0.500], [0.500, 0.500, 0.000], [0.000, 0.000, 0.500], [0.000, 0.500, 0.000], [0.500, 0.000, 0.000], [0.500, 0.500, 0.500], [0.250, 0.250, 0.250], [0.250, 0.250, 0.750], [0.250, 0.750, 0.250], [0.250, 0.750, 0.750], [0.750, 0.250, 0.250], [0.750, 0.250, 0.750], [0.750, 0.750, 0.250], [0.750, 0.750, 0.750]], "de_polymorph_ev_per_atom": 0.0086, "sg": "No. 225"}



7.
{"formula": "FeSeBr2Cl", "functional": "PBE", "state": "optimized geometry", "lattice_angstrom": [[5.134, 0.000, 0.000], [0.000, 5.134, 0.000], [0.000, 0.000, 5.304]], "species": ["Fe", "Se", "Br", "Br", "Cl"], "frac_coords": [[0.000, 0.000, 0.000], [0.500, 0.500, 0.000], [0.000, 0.500, 0.500], [0.500, 0.000, 0.500], [0.500, 0.500, 0.500]], "de_polymorph_ev_per_atom": 0.7074, "sg": "No. 123", "raw_formation_energy_ev_per_atom": 0.993}



8.
{"formula": "CrW", "functional": "PBE", "state": "optimized geometry", "lattice_angstrom": [[6.931, 0.000, 0.000], [-3.465, 6.002, 0.000], [0.000, 0.000, 4.505]], "species": ["Cr", "Cr", "Cr", "Cr", "Cr", "Cr", "W", "W", "W", "W", "W", "W"], "frac_coords": [[0.037, 0.801, 0.250], [0.199, 0.237, 0.250], [0.237, 0.037, 0.750], [0.763, 0.963, 0.250], [0.801, 0.763, 0.750], [0.963, 0.199, 0.750], [0.080, 0.631, 0.750], [0.369, 0.449, 0.750], [0.449, 0.080, 0.250], [0.551, 0.920, 0.750], [0.631, 0.551, 0.250], [0.920, 0.369, 0.250]], "energy_ev_per_fu": -21.1, "sg": "No. 176"}



9.
{"formula": "La3ZrTc", "functional": "PBE", "state": "optimized geometry", "lattice_angstrom": [[5.461, 0.000, 0.000], [0.000, 5.461, 0.000], [0.000, 0.000, 5.461]], "species": ["La", "La", "La", "Zr", "Tc"], "frac_coords": [[0.000, 0.000, 0.500], [0.000, 0.500, 0.000], [0.500, 0.000, 0.000], [0.500, 0.500, 0.500], [0.000, 0.000, 0.000]], "de_polymorph_ev_per_atom": 0.0000, "sg": "No. 221"}



10.
{"formula": "Pr2NdEr8", "functional": "PBE", "state": "optimized geometry", "lattice_angstrom": [[4.525, -8.007, 0.000], [4.525, 8.007, 0.000], [-3.192, 0.000, 4.959]], "species": ["Pr", "Pr", "Nd", "Er", "Er", "Er", "Er", "Er", "Er", "Er", "Er"], "frac_coords": [[0.194, 0.806, 0.000], [0.806, 0.194, 0.000], [0.500, 0.500, 0.500], [0.070, 0.070, 0.296], [0.170, 0.402, 0.828], [0.291, 0.709, 0.500], [0.402, 0.170, 0.828], [0.598, 0.830, 0.172], [0.709, 0.291, 0.500], [0.830, 0.598, 0.172], [0.930, 0.930, 0.704]], "de_polymorph_ev_per_atom": 0.0000, "sg": "No. 12"}



11.
{"formula": "CaMg2GaAu4", "functional": "PBE", "state": "optimized geometry", "lattice_angstrom": [[2.331, 1.346, 8.403], [-2.331, 1.346, 8.403], [0.000, -2.692, 8.403]], "species": ["Ca", "Mg", "Mg", "Ga", "Au", "Au", "Au", "Au"], "frac_coords": [[0.000, 0.000, 0.000], [0.244, 0.244, 0.244], [0.756, 0.756, 0.756], [0.500, 0.500, 0.500], [0.128, 0.128, 0.128], [0.392, 0.392, 0.392], [0.608, 0.608, 0.608], [0.872, 0.872, 0.872]], "energy_ev_per_fu": -25.6, "sg": "No. 166"}



12.
{"formula": "K2Rh", "functional": "PBE", "state": "optimized geometry", "lattice_angstrom": [[18.913, 0.000, 0.000], [0.000, 3.233, 0.000], [-2.348, 0.000, 7.003]], "species": ["K", "K", "K", "K", "K", "K", "K", "K", "Rh", "Rh", "Rh", "Rh"], "frac_coords": [[0.102, 0.000, 0.082], [0.144, 0.000, 0.618], [0.356, 0.500, 0.382], [0.398, 0.500, 0.918], [0.602, 0.500, 0.082], [0.644, 0.500, 0.618], [0.856, 0.000, 0.382], [0.898, 0.000, 0.918], [0.000, 0.500, 0.333], [0.000, 0.500, 0.667], [0.500, 0.000, 0.333], [0.500, 0.000, 0.667]], "de_polymorph_ev_per_atom": 0.1982, "sg": "No. 12"}



13.
{"formula": "Na2ScBeCo", "functional": "PBE", "state": "optimized geometry", "lattice_angstrom": [[5.794, 0.000, 0.000], [0.000, 5.794, 0.000], [0.000, 0.000, 4.218]], "species": ["Na", "Na", "Sc", "Be", "Co"], "frac_coords": [[0.000, 0.500, 0.000], [0.500, 0.000, 0.000], [0.000, 0.000, 0.000], [0.500, 0.500, 0.500], [0.000, 0.000, 0.500]], "energy_ev_per_fu": -13.1, "sg": "No. 123"}



14.
{"formula": "Dy7SbI12", "functional": "PBE", "state": "optimized geometry", "lattice_angstrom": [[7.937, 4.583, 3.461], [-7.937, 4.583, 3.461], [0.000, -9.165, 3.461]], "species": ["Dy", "Dy", "Dy", "Dy", "Dy", "Dy", "Dy", "Sb", "I", "I", "I", "I", "I", "I", "I", "I", "I", "I", "I", "I"], "frac_coords": [[0.000, 0.000, 0.000], [0.177, 0.463, 0.391], [0.391, 0.177, 0.463], [0.463, 0.391, 0.177], [0.537, 0.609, 0.823], [0.609, 0.823, 0.537], [0.823, 0.537, 0.609], [0.500, 0.500, 0.500], [0.030, 0.110, 0.343], [0.110, 0.343, 0.030], [0.188, 0.578, 0.728], [0.272, 0.812, 0.422], [0.343, 0.030, 0.110], [0.422, 0.272, 0.812], [0.578, 0.728, 0.188], [0.657, 0.970, 0.890], [0.728, 0.188, 0.578], [0.812, 0.422, 0.272], [0.890, 0.657, 0.970], [0.970, 0.890, 0.657]], "sg": "No. 148", "raw_formation_energy_ev_per_atom": -1.209}



15.
{"formula": "NaLi2Te3", "functional": "PBE", "state": "optimized geometry", "lattice_angstrom": [[7.324, -4.043, 0.000], [7.324, 4.043, 0.000], [0.000, 0.000, 5.537]], "species": ["Na", "Na", "Li", "Li", "Li", "Li", "Te", "Te", "Te", "Te", "Te", "Te"], "frac_coords": [[0.116, 0.884, 0.750], [0.884, 0.116, 0.250], [0.376, 0.376, 0.000], [0.376, 0.376, 0.500], [0.624, 0.624, 0.000], [0.624, 0.624, 0.500], [0.012, 0.563, 0.750], [0.292, 0.708, 0.250], [0.437, 0.988, 0.750], [0.563, 0.012, 0.250], [0.708, 0.292, 0.750], [0.988, 0.437, 0.250]], "sg": "No. 63", "raw_formation_energy_ev_per_atom": -0.609}



16.
{"formula": "Tm2Tl4Cd", "functional": "PBE", "state": "optimized geometry", "lattice_angstrom": [[5.676, 0.000, 0.000], [0.000, 5.676, 0.000], [0.000, 0.000, 12.945]], "species": ["Tm", "Tm", "Tm", "Tm", "Tl", "Tl", "Tl", "Tl", "Tl", "Tl", "Tl", "Tl", "Cd", "Cd"], "frac_coords": [[0.000, 0.000, 0.139], [0.000, 0.000, 0.861], [0.500, 0.500, 0.361], [0.500, 0.500, 0.639], [0.000, 0.500, 0.000], [0.000, 0.500, 0.250], [0.000, 0.500, 0.500], [0.000, 0.500, 0.750], [0.500, 0.000, 0.000], [0.500, 0.000, 0.250], [0.500, 0.000, 0.500], [0.500, 0.000, 0.750], [0.000, 0.000, 0.500], [0.500, 0.500, 0.000]], "energy_ev_per_fu": -18.9, "sg": "No. 139"}



17.
{"formula": "Mn2AlSb", "functional": "PBE", "state": "optimized geometry", "lattice_angstrom": [[8.621, 0.000, 0.000], [0.000, 3.086, 0.000], [-0.943, 0.000, 4.933]], "species": ["Mn", "Mn", "Mn", "Mn", "Al", "Al", "Sb", "Sb"], "frac_coords": [[0.249, 0.000, 0.230], [0.251, 0.500, 0.770], [0.749, 0.500, 0.230], [0.751, 0.000, 0.770], [0.000, 0.500, 0.000], [0.500, 0.000, 0.000], [0.000, 0.000, 0.500], [0.500, 0.500, 0.500]], "de_polymorph_ev_per_atom": 0.1121, "sg": "No. 12", "raw_formation_energy_ev_per_atom": 0.175}



18.
{"formula": "Y2Ho4Er2Tm", "functional": "PBE", "state": "optimized geometry", "lattice_angstrom": [[9.254, -1.781, 0.000], [9.254, 1.781, 0.000], [-4.113, 0.000, 8.502]], "species": ["Y", "Y", "Ho", "Ho", "Ho", "Ho", "Er", "Er", "Tm"], "frac_coords": [[0.148, 0.148, 0.166], [0.852, 0.852, 0.834], [0.185, 0.185, 0.834], [0.482, 0.482, 0.168], [0.518, 0.518, 0.832], [0.815, 0.815, 0.166], [0.334, 0.334, 0.499], [0.666, 0.666, 0.501], [0.000, 0.000, 0.500]], "energy_ev_per_fu": -44.8, "sg": "No. 12"}



19.
{"formula": "Nd4Dy4Er5", "functional": "PBE", "state": "optimized geometry", "lattice_angstrom": [[-6.444, 6.444, 2.520], [6.444, -6.444, 2.520], [6.444, 6.444, -2.520]], "species": ["Nd", "Nd", "Nd", "Nd", "Dy", "Dy", "Dy", "Dy", "Er", "Er", "Er", "Er", "Er"], "frac_coords": [[0.079, 0.382, 0.461], [0.382, 0.921, 0.304], [0.618, 0.079, 0.696], [0.921, 0.618, 0.539], [0.153, 0.771, 0.924], [0.229, 0.153, 0.382], [0.771, 0.847, 0.618], [0.847, 0.229, 0.076], [0.000, 0.000, 0.000], [0.311, 0.539, 0.850], [0.461, 0.311, 0.772], [0.539, 0.689, 0.228], [0.689, 0.461, 0.150]], "energy_ev_per_fu": -60.0, "sg": "No. 87"}



20.
{"formula": "TiTcP", "functional": "PBE", "state": "optimized geometry", "lattice_angstrom": [[9.206, 0.000, 0.000], [0.000, 3.787, 0.000], [-0.212, 0.000, 4.893]], "species": ["Ti", "Ti", "Ti", "Ti", "Tc", "Tc", "Tc", "Tc", "P", "P", "P", "P"], "frac_coords": [[0.000, 0.000, 0.000], [0.203, 0.500, 0.272], [0.500, 0.500, 0.000], [0.703, 0.000, 0.272], [0.002, 0.000, 0.503], [0.290, 0.000, 0.776], [0.502, 0.500, 0.503], [0.790, 0.500, 0.776], [0.129, 0.500, 0.764], [0.387, 0.000, 0.277], [0.629, 0.000, 0.764], [0.887, 0.500, 0.277]], "de_polymorph_ev_per_atom": 0.2743, "sg": "No. 8"}